DFT (meta-GGA SCAN) results for a crystal of Cd2InSe2 relaxed with PBEsol.

```
5
Lattice="-2.6191 2.6191 4.5891 2.6191 -2.6191 4.5891 2.6191 2.6191 -4.5891" Properties=species:S:1:pos:R:3 pbc="T T T"
Cd 0.0000 0.0000 1.3930
Cd 0.0000 0.0000 7.7852
In 0.0000 0.0000 4.5891
Se 2.6191 0.0000 2.2945
Se 0.0000 2.6191 2.2945
```

Properties
* E_form (uncorrected): -209.5 meV per atom

***

DFT (meta-GGA SCAN) results for a crystal of CsTlGe3 relaxed with PBEsol.

```
5
Lattice="5.6490 0.0000 0.0000 0.0000 5.6490 0.0000 0.0000 0.0000 5.6490" Properties=species:S:1:pos:R:3 pbc="T T T"
Cs 0.0000 0.0000 0.0000
Tl 2.8245 2.8245 2.8245
Ge 0.0000 0.0000 2.8245
Ge 0.0000 2.8245 0.0000
Ge 2.8245 0.0000 0.0000
```

Properties
* E_tot: -158.9 eV/f.u.

***

DFT (meta-GGA SCAN) results for a crystal of DyCu2 relaxed with PBEsol.

```
6
Lattice="-2.1162 3.3185 3.6009 2.1162 -3.3185 3.6009 2.1162 3.3185 -3.6009" Properties=species:S:1:pos:R:3 pbc="T T T"
Dy 0.0000 1.6593 0.3237
Dy 2.1162 1.6593 3.2772
Cu 2.1162 -0.3470 1.1862
Cu 2.1162 2.9716 -1.1862
Cu 0.0000 0.3470 4.7871
Cu 0.0000 3.6655 2.4147
```

Properties
* E_tot: -79.1 eV/f.u.

***

DFT (meta-GGA SCAN) results for a crystal of ZnTe3 relaxed with PBEsol.

```
4
Lattice="5.2818 0.0000 0.0000 0.0000 5.2818 0.0000 0.0000 0.0000 5.2818" Properties=species:S:1:pos:R:3 pbc="T T T"
Zn 0.0000 0.0000 0.0000
Te 0.0000 0.0000 2.6409
Te 0.0000 2.6409 0.0000
Te 2.6409 0.0000 0.0000
```

Properties
* E_form (uncorrected): 547.4 meV per atom

***

DFT (meta-GGA SCAN) results for a crystal of BeCrFe4 relaxed with PBEsol.

```
6
Lattice="0.0000 3.1930 3.1930 3.1930 0.0000 3.1930 3.1930 3.1930 0.0000" Properties=species:S:1:pos:R:3 pbc="T T T"
Be 0.0000 0.0000 0.0000
Cr 1.5965 1.5965 1.5965
Fe 3.9973 2.3888 2.3888
Fe 2.3888 3.9973 2.3888
Fe 2.3888 2.3888 3.9973
Fe 3.9973 3.9973 3.9973
```

Properties
* E_tot: -94.2 eV/f.u.

***

DFT (meta-GGA SCAN) results for a crystal of BaB6 relaxed with PBEsol.

```
7
Lattice="4.2522 0.0000 0.0000 0.0000 4.2522 0.0000 0.0000 0.0000 4.2522" Properties=species:S:1:pos:R:3 pbc="T T T"
Ba 0.0000 0.0000 0.0000
B 0.8703 2.1261 2.1261
B 2.1261 0.8703 2.1261
B 2.1261 2.1261 0.8703
B 2.1261 2.1261 3.3819
B 2.1261 3.3819 2.1261
B 3.3819 2.1261 2.1261
```

Properties
* E_tot: -87.5 eV/f.u.

***

DFT (meta-GGA SCAN) results for a crystal of YSi2Sb relaxed with PBEsol.

```
4
Lattice="1.8901 1.0913 7.3445 -1.8901 1.0913 7.3445 0.0000 -2.1825 7.3445" Properties=species:S:1:pos:R:3 pbc="T T T"
Y 0.0000 0.0000 0.0000
Si 0.0000 0.0000 5.3783
Si 0.0000 0.0000 16.6551
Sb 0.0000 0.0000 11.0167
```

Properties
* E_form (uncorrected): 116.4 meV per atom

***

DFT (meta-GGA SCAN) results for a crystal of ZnTc3Hg relaxed with PBEsol.

```
5
Lattice="4.4600 0.0000 0.0000 0.0000 4.4600 0.0000 0.0000 0.0000 4.4600" Properties=species:S:1:pos:R:3 pbc="T T T"
Zn 0.0000 0.0000 0.0000
Tc 0.0000 0.0000 2.2300
Tc 0.0000 2.2300 0.0000
Tc 2.2300 0.0000 0.0000
Hg 2.2300 2.2300 2.2300
```

Properties
* E_tot: -178.3 eV/f.u.

***

DFT (meta-GGA SCAN) results for a crystal of HfNb2Al2 relaxed with PBEsol.

```
10
Lattice="7.1467 0.0000 0.0000 0.0000 7.1467 0.0000 0.0000 0.0000 3.4254" Properties=species:S:1:pos:R:3 pbc="T T T"
Hf 0.0000 0.0000 0.0000
Hf 3.5733 3.5733 0.0000
Nb 1.2453 2.3280 1.7127
Nb 2.3280 5.9013 1.7127
Nb 4.8187 1.2453 1.7127
Nb 5.9013 4.8187 1.7127
Al 0.8830 4.4563 0.0000
Al 2.6904 0.8830 0.0000
Al 4.4563 6.2637 0.0000
Al 6.2637 2.6904 0.0000
```

Properties
* E_tot: -146.3 eV/f.u.

***

DFT (meta-GGA SCAN) results for a crystal of Li4V3Fe3Te2O16 relaxed with PBEsol.

```
28
Lattice="5.6458 0.0000 0.0000 -2.6377 5.0220 0.0000 -0.0172 -0.0178 10.1949" Properties=species:S:1:pos:R:3 pbc="T T T"
Li 0.0000 0.0000 0.0000
Li -2.5587 4.9680 5.0877
Li 0.0766 3.4225 5.9341
Li 2.9862 1.7077 0.8630
V 1.5015 4.0911 2.6928
V 2.8554 3.2691 7.8057
V 4.1045 0.9176 7.8336
Fe 0.0718 1.7607 2.7661
Fe -1.0238 4.1227 2.7686
Fe 1.6185 0.9317 7.8637
Te 0.0767 3.2884 10.0577
Te 2.8922 1.6793 4.8905
O -0.0064 -0.0035 6.9810
O -2.5744 4.9444 1.9098
O -1.1336 2.6737 1.4871
O -0.0199 1.6046 9.0617
O -1.3065 4.1889 9.0539
O 1.4935 0.6925 3.8975
O 0.3025 3.3846 3.9653
O 0.2959 4.9467 1.6247
O 1.5641 2.6447 1.6842
O 1.5746 2.6299 6.7609
O 2.9268 0.1911 6.5652
O 2.9363 1.8109 9.0952
O 1.6322 4.3240 8.9275
O 4.3471 0.7880 3.9791
O 3.1262 3.4354 3.8251
O 4.2186 2.4910 6.7240
```

Properties
* E_form (uncorrected): -1960.9 meV per atom

***

DFT (meta-GGA SCAN) results for a crystal of Zn5Ni relaxed with PBEsol.

```
6
Lattice="1.8651 -5.5709 0.0000 1.8651 5.5709 0.0000 0.0000 0.0000 3.7225" Properties=species:S:1:pos:R:3 pbc="T T T"
Zn 0.0000 0.0000 0.0000
Zn 1.8651 3.7639 1.8613
Zn 1.8651 1.8084 0.0000
Zn 1.8651 -1.8084 0.0000
Zn 1.8651 -3.7639 1.8613
Ni 1.8651 0.0000 1.8613
```

Properties
* E_tot: -84.3 eV/f.u.

***

DOS(E_F): 1.64, 3.33, 1.61, 4.47, 4.59, 0.13, 2.54, 4.77, 3.12, 4.41, 1.66 (states/eV/f.u.)